Computed, not measured: a relaxed LaTe3F crystal at the PBE level of DFT.

N(E_F) = 1.74 states/eV/cell
crystal system = cubic
electronic total energy = -20.50 eV/f.u.
formation energy without anion corrections = -0.86 eV/atom

```
data_LaTe3F
_chemical_formula_sum 'La1 Te3 F1'
_symmetry_space_group_name_H-M 'P m -3 m'
_symmetry_Int_Tables_number 221
_symmetry_space_group_name_Hall '-P 4 2 3'
_cell_length_a 5.071
_cell_length_b 5.071
_cell_length_c 5.071
_cell_angle_alpha 90.00
_cell_angle_beta 90.00
_cell_angle_gamma 90.00
loop_
_atom_site_label
_atom_site_type_symbol
_atom_site_fract_x
_atom_site_fract_y
_atom_site_fract_z
La1 La 0.000 0.000 0.000
Te1 Te 0.000 0.500 0.500
F1 F 0.500 0.500 0.500
```